Entry i
# PBE-GGA BaSrTi2, optimized geometry
data_BaSrTi2
_space_group_name_H-M_alt 'F m -3 m'
_space_group_IT_number 225
_space_group_name_Hall '-F 4 2 3'
_cell_length_a 7.863
_cell_length_b 7.863
_cell_length_c 7.863
_cell_angle_alpha 90.00
_cell_angle_beta 90.00
_cell_angle_gamma 90.00
loop_
_atom_site_label
_atom_site_fract_x
_atom_site_fract_y
_atom_site_fract_z
Ba1 0.000 0.000 0.000
Sr1 0.000 0.000 0.500
Ti1 0.250 0.250 0.250
# - volume (A^3/atom) = 30.38
# - mass density (g cm⁻³) = 4.382
# - size of the total moment (μB/f.u.) = 0.00

---

Entry ii
# PBE-GGA BaSrTi2, optimized geometry
data_BaSrTi2
_space_group_name_H-M_alt 'I -4 2 d'
_space_group_IT_number 122
_space_group_name_Hall 'I -4 2bw'
_cell_length_a 8.998
_cell_length_b 8.998
_cell_length_c 6.514
_cell_angle_alpha 90.00
_cell_angle_beta 90.00
_cell_angle_gamma 90.00
loop_
_atom_site_label
_atom_site_fract_x
_atom_site_fract_y
_atom_site_fract_z
Ba1 0.000 0.000 0.000
Sr1 0.000 0.000 0.500
Ti1 0.250 0.250 0.375
# - volume (A^3/atom) = 32.96
# - mass density (g cm⁻³) = 4.039
# - size of the total moment (μB/f.u.) = 4.00

---

Least stable structure: entry ii

---

Entry i
# PBE-GGA Ba3SrTi, optimized geometry
data_Ba3SrTi
_space_group_name_H-M_alt 'P m -3 m'
_space_group_IT_number 221
_space_group_name_Hall '-P 4 2 3'
_cell_length_a 6.525
_cell_length_b 6.525
_cell_length_c 6.525
_cell_angle_alpha 90.00
_cell_angle_beta 90.00
_cell_angle_gamma 90.00
loop_
_atom_site_label
_atom_site_fract_x
_atom_site_fract_y
_atom_site_fract_z
Ba1 0.000 0.000 0.500
Sr1 0.000 0.000 0.000
Ti1 0.500 0.500 0.500
# - volume (A^3/atom) = 55.57
# - mass density (g cm⁻³) = 3.272
# - size of the total moment (μB/f.u.) = 0.00

---

Entry ii
# PBE-GGA Ba3SrTi, optimized geometry
data_Ba3SrTi
_space_group_name_H-M_alt 'P m -3 m'
_space_group_IT_number 221
_space_group_name_Hall '-P 4 2 3'
_cell_length_a 6.481
_cell_length_b 6.481
_cell_length_c 6.481
_cell_angle_alpha 90.00
_cell_angle_beta 90.00
_cell_angle_gamma 90.00
loop_
_atom_site_label
_atom_site_fract_x
_atom_site_fract_y
_atom_site_fract_z
Ba1 0.000 0.000 0.500
Sr1 0.500 0.500 0.500
Ti1 0.000 0.000 0.000
# - volume (A^3/atom) = 54.44
# - mass density (g cm⁻³) = 3.340
# - size of the total moment (μB/f.u.) = 2.13

---

Least stable structure: entry i

---

Entry i
# PBE-GGA Ba4SrTl2, optimized geometry
data_Ba4SrTl2
_space_group_name_H-M_alt 'C m c m'
_space_group_IT_number 63
_space_group_name_Hall '-C 2c 2'
_cell_length_a 6.418
_cell_length_b 11.109
_cell_length_c 18.955
_cell_angle_alpha 90.00
_cell_angle_beta 90.00
_cell_angle_gamma 90.00
loop_
_atom_site_label
_atom_site_fract_x
_atom_site_fract_y
_atom_site_fract_z
Ba1 0.000 0.000 0.000
Ba2 0.000 0.333 0.119
Ba3 0.000 0.334 0.750
Sr1 0.000 0.000 0.250
Tl1 0.000 0.334 0.569
# - volume (A^3/atom) = 48.27
# - mass density (g cm⁻³) = 5.139
# - size of the total moment (μB/f.u.) = 0.00

---

Entry ii
# PBE-GGA Ba4SrTl2, optimized geometry
data_Ba4SrTl2
_space_group_name_H-M_alt 'P 1'
_space_group_IT_number 1
_cell_length_a 8.463
_cell_length_b 9.035
_cell_length_c 10.747
_cell_angle_alpha 112.18
_cell_angle_beta 98.52
_cell_angle_gamma 106.70
loop_
_space_group_symop_operation_xyz
'x,y,z'
loop_
_atom_site_label
_atom_site_fract_x
_atom_site_fract_y
_atom_site_fract_z
Ba1 0.000 0.000 0.000
Ba2 0.004 0.504 0.031
Ba3 0.025 0.427 0.396
Ba4 0.255 0.357 0.720
Ba5 0.361 0.936 0.761
Ba6 0.515 0.917 0.139
Ba7 0.639 0.648 0.585
Ba8 0.981 0.890 0.379
Sr1 0.507 0.428 0.146
Sr2 0.674 0.206 0.600
Tl1 0.010 0.616 0.754
Tl2 0.332 0.198 0.351
Tl3 0.366 0.780 0.384
Tl4 0.669 0.604 0.918
# - volume (A^3/atom) = 49.84
# - mass density (g cm⁻³) = 4.977
# - size of the total moment (μB/f.u.) = 0.03

---

Least stable structure: entry i

---

Entry i
# PBE-GGA Ba2SrTl2, optimized geometry
data_Ba2SrTl2
_space_group_name_H-M_alt 'C m m m'
_space_group_IT_number 65
_space_group_name_Hall '-C 2 2'
_cell_length_a 4.256
_cell_length_b 24.238
_cell_length_c 4.166
_cell_angle_alpha 90.00
_cell_angle_beta 90.00
_cell_angle_gamma 90.00
loop_
_atom_site_label
_atom_site_fract_x
_atom_site_fract_y
_atom_site_fract_z
Ba1 0.000 0.166 0.000
Sr1 0.000 0.000 0.000
Tl1 0.000 0.421 0.500
# - volume (A^3/atom) = 42.97
# - mass density (g cm⁻³) = 5.959
# - size of the total moment (μB/f.u.) = 0.00

---

Entry ii
# PBE-GGA Ba2SrTl2, optimized geometry
data_Ba2SrTl2
_space_group_name_H-M_alt 'I 4/m m m'
_space_group_IT_number 139
_space_group_name_Hall '-I 4 2'
_cell_length_a 6.190
_cell_length_b 6.190
_cell_length_c 12.451
_cell_angle_alpha 90.00
_cell_angle_beta 90.00
_cell_angle_gamma 90.00
loop_
_atom_site_label
_atom_site_fract_x
_atom_site_fract_y
_atom_site_fract_z
Ba1 0.000 0.000 0.144
Sr1 0.000 0.000 0.500
Tl1 0.000 0.500 0.250
# - volume (A^3/atom) = 47.71
# - mass density (g cm⁻³) = 5.367
# - size of the total moment (μB/f.u.) = 0.00

---

Entry iii
# PBE-GGA Ba2SrTl2, optimized geometry
data_Ba2SrTl2
_space_group_name_H-M_alt 'P 1 21/m 1'
_space_group_IT_number 11
_cell_length_a 4.530
_cell_length_b 5.536
_cell_length_c 16.939
_cell_angle_alpha 90.00
_cell_angle_beta 97.65
_cell_angle_gamma 90.00
loop_
_space_group_symop_operation_xyz
'x,y,z'
'-x,-y,-z'
'-x,y+1/2,-z'
'x,-y+1/2,z'
loop_
_atom_site_label
_atom_site_fract_x
_atom_site_fract_y
_atom_site_fract_z
Ba1 0.057 0.250 0.116
Ba2 0.238 0.750 0.476
Sr1 0.364 0.250 0.726
Tl1 0.169 0.250 0.338
Tl2 0.470 0.250 0.940
# - volume (A^3/atom) = 42.10
# - mass density (g cm⁻³) = 6.083
# - size of the total moment (μB/f.u.) = 0.00

---

Entry iv
# PBE-GGA Ba2SrTl2, optimized geometry
data_Ba2SrTl2
_space_group_name_H-M_alt 'P 4/m b m'
_space_group_IT_number 127
_space_group_name_Hall '-P 4 2ab'
_cell_length_a 9.849
_cell_length_b 9.849
_cell_length_c 4.454
_cell_angle_alpha 90.00
_cell_angle_beta 90.00
_cell_angle_gamma 90.00
loop_
_atom_site_label
_atom_site_fract_x
_atom_site_fract_y
_atom_site_fract_z
Ba1 0.161 0.339 0.000
Sr1 0.000 0.000 0.500
Tl1 0.134 0.634 0.500
# - volume (A^3/atom) = 43.20
# - mass density (g cm⁻³) = 5.927
# - size of the total moment (μB/f.u.) = 0.00

---

Least stable structure: entry ii

---

Entry i
# PBE-GGA Ba2Sr6Tl, optimized geometry
data_Ba2Sr6Tl
_space_group_name_H-M_alt 'A m m 2'
_space_group_IT_number 38
_cell_length_a 4.328
_cell_length_b 19.362
_cell_length_c 11.293
_cell_angle_alpha 90.00
_cell_angle_beta 90.00
_cell_angle_gamma 90.00
loop_
_space_group_symop_operation_xyz
'x,y,z'
'-x,-y,z'
'-x,y,z'
'x,-y,z'
'x,y+1/2,z+1/2'
'-x,-y+1/2,z+1/2'
'-x,y+1/2,z+1/2'
'x,-y+1/2,z+1/2'
loop_
_atom_site_label
_atom_site_fract_x
_atom_site_fract_y
_atom_site_fract_z
Ba1 0.000 0.177 0.000
Sr1 0.000 0.000 0.770
Sr2 0.000 0.113 0.368
Sr3 0.500 0.000 0.109
Sr4 0.500 0.168 0.676
Tl1 0.500 0.000 0.524
# - volume (A^3/atom) = 52.58
# - mass density (g cm⁻³) = 3.526
# - size of the total moment (μB/f.u.) = 0.83

---

Entry ii
# PBE-GGA Ba2Sr6Tl, optimized geometry
data_Ba2Sr6Tl
_space_group_name_H-M_alt 'C 1 2/m 1'
_space_group_IT_number 12
_cell_length_a 18.717
_cell_length_b 12.283
_cell_length_c 4.228
_cell_angle_alpha 90.00
_cell_angle_beta 103.03
_cell_angle_gamma 90.00
loop_
_space_group_symop_operation_xyz
'x,y,z'
'-x,-y,-z'
'-x,y,-z'
'x,-y,z'
'x+1/2,y+1/2,z'
'-x+1/2,-y+1/2,-z'
'-x+1/2,y+1/2,-z'
'x+1/2,-y+1/2,z'
loop_
_atom_site_label
_atom_site_fract_x
_atom_site_fract_y
_atom_site_fract_z
Ba1 0.130 0.000 0.133
Sr1 0.000 0.264 0.500
Sr2 0.178 0.346 0.177
Tl1 0.000 0.500 0.000
# - volume (A^3/atom) = 52.61
# - mass density (g cm⁻³) = 3.524
# - size of the total moment (μB/f.u.) = 0.00

---

Least stable structure: entry ii